No. 1
LiCo6O2F10 | GGA+U | relaxed Values from VASP.

```
&SYSTEM
  ibrav = 0, nat = 19, ntyp = 4
/
ATOMIC_SPECIES
F 19.00 F.upf
Co 58.93 Co.upf
O 16.00 O.upf
Li 6.94 Li.upf
CELL_PARAMETERS angstrom
3.437 3.424 -0.001
-3.437 3.424 -0.001
0.000 0.361 9.600
ATOMIC_POSITIONS angstrom
F 0.000 5.364 3.582
Co 0.000 0.304 6.362
F 0.000 2.149 9.438
F -2.066 3.619 7.943
F 0.000 5.073 6.454
F 2.066 3.619 7.943
Co 0.000 3.729 8.012
F 0.000 2.400 6.375
F 2.164 3.331 1.536
O 0.000 2.500 3.066
Co 0.000 6.889 9.412
F -2.164 3.331 1.536
F -2.069 3.889 4.849
Co 0.000 3.740 4.773
F 2.069 3.889 4.849
Li 0.000 5.397 1.855
Co 0.000 0.560 3.304
Co 0.000 3.036 1.353
O 0.000 4.487 0.194
```

## Properties
total energy	-5.083	eV/atom
excess energy over the best structure of this formula in the dataset	52	meV per atom


No. 2
Li3Co3OF7 | GGA+U | relaxed Values from VASP.

```
&SYSTEM
  ibrav = 0, nat = 28, ntyp = 4
/
ATOMIC_SPECIES
F 19.00 F.upf
Co 58.93 Co.upf
Li 6.94 Li.upf
O 16.00 O.upf
CELL_PARAMETERS angstrom
6.065 0.003 -0.003
3.027 5.256 -0.003
3.033 1.754 9.894
ATOMIC_POSITIONS angstrom
F 4.561 0.910 2.993
Co 6.169 3.530 6.861
F 4.575 2.744 5.680
F 6.189 1.728 7.985
F 5.989 5.215 5.604
Li 7.581 2.668 0.004
Co 4.596 4.413 4.270
Li 7.609 6.118 4.951
F 5.990 1.714 0.657
F 4.499 4.430 0.699
Li 10.646 6.117 6.802
Li 7.502 2.704 3.671
F 2.989 1.727 7.961
O 5.921 3.622 3.061
F 3.068 3.626 3.038
Co 4.619 2.710 1.914
F 9.229 5.172 5.556
F 3.143 1.720 0.733
Co 7.633 2.660 9.217
F 1.471 0.852 3.014
Li 7.601 6.032 8.618
F 4.579 4.376 7.940
F 7.599 2.567 5.646
Co 9.053 3.526 6.866
O 7.608 4.203 8.008
Co 6.054 5.212 1.919
F 7.568 4.544 0.609
Li 9.094 5.301 1.855
```

## Properties
total energy	-5.083	eV/atom
excess energy over the best structure of this formula in the dataset	0	meV per atom


No. 3
Li6Co2OF11 | GGA+U | relaxed Values from VASP.

```
&SYSTEM
  ibrav = 0, nat = 20, ntyp = 4
/
ATOMIC_SPECIES
Li 6.94 Li.upf
F 19.00 F.upf
Co 58.93 Co.upf
O 16.00 O.upf
CELL_PARAMETERS angstrom
-1.889 3.714 -2.964
2.429 -4.258 -2.454
-8.075 -2.531 2.034
ATOMIC_POSITIONS angstrom
Li -2.644 -2.565 -1.465
F -1.711 -0.629 -0.962
Li -4.971 -0.514 -2.144
F -1.059 1.712 -2.842
Li -5.204 -4.241 -1.902
Li -2.167 1.223 -1.325
F -3.548 -4.147 -1.062
F -6.756 -0.008 -1.424
F -3.198 -1.685 -3.146
Co -2.089 -1.292 -4.642
O -0.628 -0.840 -3.795
F -4.067 -1.332 -0.317
F -0.789 -3.203 -1.904
F -3.903 1.146 -2.209
Co -7.647 -1.754 -1.677
Li 0.017 -1.322 -1.474
F -6.430 -4.838 -0.409
F -7.135 -2.186 0.139
F -6.005 -2.462 -2.267
Li -5.441 -1.766 1.115
```

## Properties
total energy	-4.760	eV/atom
excess energy over the best structure of this formula in the dataset	7	meV per atom


Q: total energy of number 3 (Li6Co2OF11)?
A: -4.760 eV/atom


Repeat the third record exactly.
Li6Co2OF11 | GGA+U | relaxed Values from VASP.

```
&SYSTEM
  ibrav = 0, nat = 20, ntyp = 4
/
ATOMIC_SPECIES
Li 6.94 Li.upf
F 19.00 F.upf
Co 58.93 Co.upf
O 16.00 O.upf
CELL_PARAMETERS angstrom
-1.889 3.714 -2.964
2.429 -4.258 -2.454
-8.075 -2.531 2.034
ATOMIC_POSITIONS angstrom
Li -2.644 -2.565 -1.465
F -1.711 -0.629 -0.962
Li -4.971 -0.514 -2.144
F -1.059 1.712 -2.842
Li -5.204 -4.241 -1.902
Li -2.167 1.223 -1.325
F -3.548 -4.147 -1.062
F -6.756 -0.008 -1.424
F -3.198 -1.685 -3.146
Co -2.089 -1.292 -4.642
O -0.628 -0.840 -3.795
F -4.067 -1.332 -0.317
F -0.789 -3.203 -1.904
F -3.903 1.146 -2.209
Co -7.647 -1.754 -1.677
Li 0.017 -1.322 -1.474
F -6.430 -4.838 -0.409
F -7.135 -2.186 0.139
F -6.005 -2.462 -2.267
Li -5.441 -1.766 1.115
```

## Properties
total energy	-4.760	eV/atom
excess energy over the best structure of this formula in the dataset	7	meV per atom